# Hf6Fe2N, relaxed, DFT PBE
data_Hf6Fe2N
_cell_length_a 5.766
_cell_length_b 6.237
_cell_length_c 10.354
_cell_angle_alpha 90.00
_cell_angle_beta 122.11
_cell_angle_gamma 90.00
_symmetry_space_group_name_H-M 'P 1 21/c 1'
_symmetry_Int_Tables_number 14
loop_
_symmetry_equiv_pos_as_xyz
'x,y,z'
'-x,-y,-z'
'-x,y+1/2,-z+1/2'
'x,-y+1/2,z+1/2'
loop_
_atom_site_label
_atom_site_type_symbol
_atom_site_fract_x
_atom_site_fract_y
_atom_site_fract_z
Hf1 Hf 0.117 0.037 0.244
Hf2 Hf 0.236 0.681 0.060
Hf3 Hf 0.378 0.177 0.060
Fe1 Fe 0.310 0.103 0.761
N1 N 0.000 0.000 0.000
# M_tot	0.0	μB/cell
# electronic total energy	-179.46	eV for the cell shown
# crystal system	monoclinic